## NpSnN (PBE)

Data for a relaxed structure of NpSnN.

Properties
- uncorrected formation energy (eV/atom) = 0.417
- final energy (eV per atom) = -8.01

Cell: 4.434 4.434 4.790 Å, 117.57 117.57 90.00°
Each line ends with the local moment (μB).
Fractional coordinates of all 3 atoms:
Sn1 0.998 0.998 0.997  -0.01
N1 0.292 0.292 0.584  -0.14
Np1 0.560 0.560 0.120  3.21

=====

## Tl12Se6I (PBE)

Data for a relaxed structure of Tl12Se6I.

Properties
- uncorrected formation energy (eV/atom) = -0.329
- final energy (eV per atom) = -3.01

Cell: 9.468 9.468 9.468 Å, 109.45 109.45 109.45°
Fractional coordinates of all 19 atoms:
I1 0.000 0.000 0.000
Tl1 0.174 0.008 0.716
Se1 0.413 0.836 0.710
Tl2 0.826 0.992 0.284
Tl3 0.127 0.495 0.393
Tl4 0.284 0.826 0.992
Se2 0.164 0.290 0.587
Se3 0.290 0.587 0.164
Tl5 0.992 0.284 0.826
Se4 0.710 0.413 0.836
Tl6 0.008 0.716 0.174
Tl7 0.607 0.873 0.505
Tl8 0.716 0.174 0.008
Tl9 0.495 0.393 0.127
Tl10 0.505 0.607 0.873
Tl11 0.873 0.505 0.607
Se5 0.836 0.710 0.413
Se6 0.587 0.164 0.290
Tl12 0.393 0.127 0.495

=====

## La3Te (PBE)

Data for a relaxed structure of La3Te.

Properties
- uncorrected formation energy (eV/atom) = -0.655
- final energy (eV per atom) = -5.14

Cell: 4.030 4.030 8.389 Å, 90.00 90.00 90.01°
Fractional coordinates of all 4 atoms:
Te1 0.500 0.500 0.250
La1 0.500 0.500 0.750
La2 0.000 0.000 0.467
La3 0.000 0.000 0.033

=====

## Er3Sc2Bi3 (PBE)

Data for a relaxed structure of Er3Sc2Bi3.

Properties
- E_form (meV/atom) = -645.9
- final energy (eV per atom) = -5.40

Cell: 6.179 8.937 8.937 Å, 120.00 90.00 90.00°
Each line ends with the local moment (μB).
Fractional coordinates of all 16 atoms:
Bi1 0.250 0.395 0.000  0.01
Sc1 0.500 0.667 0.333  -0.26
Er1 0.250 0.000 0.758  -0.03
Bi2 0.750 0.395 0.395  0.01
Er2 0.750 0.242 0.000  -0.03
Er3 0.750 0.000 0.242  -0.03
Bi3 0.750 0.000 0.605  0.01
Er4 0.750 0.758 0.758  -0.03
Er5 0.250 0.242 0.242  -0.03
Sc2 0.000 0.667 0.333  -0.26
Sc3 0.000 0.333 0.667  -0.26
Sc4 0.500 0.333 0.667  -0.26
Er6 0.250 0.758 0.000  -0.03
Bi4 0.750 0.605 0.000  0.01
Bi5 0.250 0.000 0.395  0.01
Bi6 0.250 0.605 0.605  0.01

=====

## GdNiSb2 (PBE)

Data for a relaxed structure of GdNiSb2.

Properties
- uncorrected formation energy (eV/atom) = -0.043
- final energy (eV per atom) = -7.07

Cell: 3.493 3.493 9.792 Å, 79.73 79.73 60.00°
Each line ends with the local moment (μB).
Fractional coordinates of all 4 atoms:
Sb1 0.891 0.891 0.328  -0.01
Sb2 0.109 0.109 0.672  -0.01
Gd1 0.000 0.000 0.000  7.20
Ni1 0.500 0.500 0.500  0.01

=====

## RbSiS2Cl (PBE)

Data for a relaxed structure of RbSiS2Cl.

Properties
- uncorrected formation energy (eV/atom) = -0.632
- final energy (eV per atom) = -3.93

Cell: 4.590 4.590 5.463 Å, 90.00 90.00 90.00°
Fractional coordinates of all 5 atoms:
Rb1 0.500 0.500 0.500
S1 0.000 0.500 0.000
Cl1 0.000 0.000 0.500
S2 0.500 0.000 0.000
Si1 0.000 0.000 0.000

=====

## LaTbCdPb (PBE)

Data for a relaxed structure of LaTbCdPb.

Properties
- E_form (meV/atom) = -433.8
- final energy (eV per atom) = -3.98

Cell: 5.490 5.490 5.490 Å, 60.00 60.00 60.00°
Fractional coordinates of all 4 atoms:
Pb1 0.250 0.250 0.250
La1 0.000 0.000 0.000
Tb1 0.500 0.500 0.500
Cd1 0.750 0.750 0.750

=====

## SnB3C (PBE)

Data for a relaxed structure of SnB3C.

Properties
- E_form (meV/atom) = 3432.9
- final energy (eV per atom) = -3.22

Cell: 4.489 4.489 4.489 Å, 90.00 90.00 90.00°
Each line ends with the local moment (μB).
Fractional coordinates of all 5 atoms:
Sn1 0.000 0.000 0.000  0.04
B1 0.000 0.000 0.500  -0.01
C1 0.500 0.500 0.500  0.71
B2 0.000 0.500 0.000  -0.04
B3 0.500 0.000 0.000  -0.04

=====

## Y2Er6Tm3Pu (PBE)

Data for a relaxed structure of Y2Er6Tm3Pu.

Properties
- E_form (meV/atom) = 49.3
- final energy (eV per atom) = -5.62

Cell: 6.070 6.070 11.578 Å, 95.02 95.02 120.00°
Each line ends with the local moment (μB).
Fractional coordinates of all 12 atoms:
Y1 0.333 0.667 0.000  0.09
Er1 0.917 0.588 0.750  0.05
Er2 0.754 0.754 0.250  0.05
Er3 0.588 0.917 0.750  0.05
Tm1 0.167 0.833 0.500  -0.06
Er4 0.083 0.412 0.250  0.05
Pu1 0.000 0.000 0.000  5.59
Tm2 0.833 0.167 0.500  -0.06
Tm3 0.500 0.500 0.500  -0.06
Er5 0.246 0.246 0.750  0.05
Er6 0.412 0.083 0.250  0.05
Y2 0.667 0.333 0.000  0.09

=====

## BeSb2Au (PBE)

Data for a relaxed structure of BeSb2Au.

Properties
- uncorrected formation energy (eV/atom) = 0.276
- final energy (eV per atom) = -3.54

Cell: 3.938 4.812 4.821 Å, 74.85 90.00 90.00°
Fractional coordinates of all 4 atoms:
Au1 0.500 0.250 0.250
Sb1 0.000 0.530 0.530
Sb2 0.000 0.970 0.970
Be1 0.500 0.750 0.750

=====

## SmAs (PBE)

Data for a relaxed structure of SmAs.

Properties
- E_form (meV/atom) = -1528.5
- final energy (eV per atom) = -6.21

Cell: 4.215 4.215 4.215 Å, 60.00 60.00 60.00°
Fractional coordinates of all 2 atoms:
As1 0.000 0.000 0.000
Sm1 0.500 0.500 0.500

=====

## RbYV2In (PBE)

Data for a relaxed structure of RbYV2In.

Properties
- E_form (meV/atom) = 1152.0
- final energy (eV per atom) = -4.53

Cell: 5.412 5.799 5.412 Å, 90.00 90.00 90.00°
Each line ends with the local moment (μB).
Fractional coordinates of all 5 atoms:
Y1 0.000 0.500 0.000  -0.09
V1 0.500 0.000 0.000  2.73
V2 0.000 0.000 0.500  2.92
In1 0.000 0.000 0.000  -0.07
Rb1 0.500 0.500 0.500  0.04

=====

## Ta2ZnAs2 (PBE)

Data for a relaxed structure of Ta2ZnAs2.

Properties
- E_form (meV/atom) = -26.5
- final energy (eV per atom) = -6.88

Cell: 7.249 7.249 3.283 Å, 90.00 90.00 90.00°
Fractional coordinates of all 10 atoms:
Ta1 0.648 0.852 0.500
As1 0.354 0.854 0.000
As2 0.146 0.354 0.000
As3 0.854 0.646 0.000
Ta2 0.852 0.352 0.500
Ta3 0.148 0.648 0.500
As4 0.646 0.146 0.000
Zn1 0.500 0.500 0.000
Zn2 0.000 0.000 0.000
Ta4 0.352 0.148 0.500